Record 1
This record from Alexandria describes MgMn4O8 after structural relaxation. The functional is GGA+U.

Results
Symmetry ... P-1 (2)
Uncorrected energy ... -6.82 eV per atom
Energy above the lowest structure with this stoichiometry ... 0.288 eV/atom

Cell: 5.387 6.127 6.234 Å, 67.94 66.56 67.26°
Element x y z (fractional)
1 Mg 0.000 0.000 0.000
2 Mn 0.311 0.834 0.517
3 Mn 0.391 0.270 0.064
4 Mn 0.609 0.730 0.936
5 Mn 0.689 0.166 0.483
6 O 0.078 0.139 0.219
7 O 0.265 0.616 0.154
8 O 0.384 0.990 0.746
9 O 0.448 0.562 0.304
10 O 0.552 0.438 0.696
11 O 0.616 0.010 0.254
12 O 0.735 0.384 0.846
13 O 0.922 0.861 0.781

***

Record 2
This record from Alexandria describes MgMn2O4 after structural relaxation. The functional is GGA+U.

Results
Symmetry ... P2/m (10)
Uncorrected energy ... -7.06 eV per atom
Energy above the lowest structure with this stoichiometry ... 0.065 eV/atom

Cell: 5.202 2.993 5.440 Å, 90.00 108.52 90.00°
Element x y z (fractional)
1 Mg 0.000 0.000 0.000
2 Mn 0.500 0.000 0.500
3 Mn 0.500 0.500 0.000
4 O 0.265 0.500 0.214
5 O 0.290 0.000 0.800
6 O 0.710 0.000 0.200
7 O 0.735 0.500 0.786